Computed, not measured: a relaxed structure of PmSm6Ho12 at the PBE level of DFT.

Summary:
E above lowest polymorph: 0.441 eV per atom
spin magnetization: 0.000 μB per cell
Fermi-level density of states: 80.0 states/eV/cell
crystal system: trigonal
DFT formation energy: 0.458 eV/atom
raw total energy: -237.901 eV for the cell shown

abc: 13.4837 13.4837 12.5329
angles: 90.00 90.00 120.00
Space group R-3m (No. 166, hexagonal axes)
Asymmetric unit:
Pm  0.0000  0.0000  0.0000 x3
Sm  0.0216  0.5108  0.7213 x18
Ho  0.0000  0.3832  0.5000 x18
Ho  0.0952  0.1905  0.3703 x18